Pu2Ge7Rh12: relaxed, GGA-PBE.

Cell: 9.9780 9.9780 3.9109 Å, 90.00 90.00 120.00°
Space group P-6 (No. 174)
Unique sites:
Pu  0.0000  0.0000  0.0000
Pu  0.3333  0.6667  0.5000
Ge  0.0664  0.4494  0.0000
Ge  0.2638  0.2227  0.5000
Ge  0.6667  0.3333  0.0000
Rh  0.0480  0.2753  0.5000
Rh  0.1119  0.7152  0.0000
Rh  0.3909  0.1823  0.0000
Rh  0.5366  0.4415  0.5000

Results
DOS at the Fermi energy in states/eV per cell: 38.03
ΔH_f (0 K) in eV/atom: -0.605



Pu4Ge16Rh3: relaxed, GGA-PBE.

Cell: 6.2055 6.2055 11.2266 Å, 90.00 90.00 90.00°
Space group P4/mmm (No. 123)
Unique sites:
Pu  0.0000  0.5000  0.1889
Ge  0.0000  0.0000  0.2092
Ge  0.2138  0.2138  0.0000
Ge  0.2475  0.2475  0.3765
Ge  0.5000  0.5000  0.2314
Rh  0.0000  0.5000  0.5000
Rh  0.5000  0.5000  0.0000

Results
DOS at the Fermi energy in states/eV per cell: 37.35
ΔH_f (0 K) in eV/atom: -0.341



Pu6Ge5Rh: relaxed, GGA-PBE.

Cell: 4.6672 7.8130 8.0203 Å, 118.31 95.69 90.48°
Space group P-1 (No. 2)
Unique sites:
Pu  0.0170  0.2554  0.4946
Pu  0.2722  0.0769  0.1568
Pu  0.2873  0.5766  0.1506
Ge  0.2080  0.1563  0.8137
Ge  0.2237  0.6553  0.8085
Ge  0.5000  0.0000  0.5000
Rh  0.5000  0.5000  0.5000

Results
DOS at the Fermi energy in states/eV per cell: 38.35
ΔH_f (0 K) in eV/atom: -0.406



PuGe6Rh12: relaxed, GGA-PBE.

Cell: 11.3674 11.3674 8.3174 Å, 90.00 90.00 120.00°
Space group R-3m (No. 166, hexagonal axes)
Unique sites:
Pu  0.0000  0.0000  0.0000
Ge  0.0389  0.5195  0.2683
Rh  0.0000  0.3711  0.5000
Rh  0.0813  0.1627  0.3441

Results
DOS at the Fermi energy in states/eV per cell: 80.92
ΔH_f (0 K) in eV/atom: -0.383



Pu5Ge2Rh: relaxed, GGA-PBE.

Cell: 7.0910 11.2153 4.6660 Å, 90.00 90.00 90.00°
Space group Pbam (No. 55)
Unique sites:
Pu  0.0000  0.0000  0.0000
Pu  0.1504  0.2755  0.0000
Pu  0.1979  0.5667  0.5000
Ge  0.0844  0.8296  0.5000
Rh  0.0000  0.5000  0.0000

Results
Energy above the lowest structure with this stoichiometry in meV per atom: 0
DOS at the Fermi energy in states/eV per cell: 67.28
ΔH_f (0 K) in eV/atom: -0.337



PuGeRh3: relaxed, GGA-PBE.

Cell: 5.7157 5.7157 6.6226 Å, 90.00 90.00 120.00°
Space group P6_3/mmc (No. 194)
Unique sites:
Pu  0.3333  0.6667  0.2500
Ge  0.0000  0.0000  0.0000
Rh  0.1786  0.3573  0.7500

Results
DOS at the Fermi energy in states/eV per cell: 25.63
ΔH_f (0 K) in eV/atom: -0.341



Pu3Ge2Rh2: relaxed, GGA-PBE.

Cell: 5.5626 7.9199 13.2339 Å, 90.00 90.00 90.00°
Space group Pbcm (No. 57)
Unique sites:
Pu  0.1358  0.2455  0.2500
Pu  0.3514  0.6084  0.0984
Ge  0.1624  0.2500  0.0000
Ge  0.3716  0.6035  0.7500
Rh  0.1230  0.5403  0.5927

Results
DOS at the Fermi energy in states/eV per cell: 104.21
ΔH_f (0 K) in eV/atom: -0.599



Pu12Ge6Rh: relaxed, GGA-PBE.

Cell: 10.6578 10.6578 12.1109 Å, 90.00 90.00 120.00°
Space group R-3 (No. 148, hexagonal axes)
Unique sites:
Pu  0.0459  0.1837  0.2908
Pu  0.0608  0.8345  0.9038
Ge  0.0508  0.4554  0.2115
Rh  0.0000  0.0000  0.5000

Results
DOS at the Fermi energy in states/eV per cell: 152.84
ΔH_f (0 K) in eV/atom: -0.272



Pu3Ge3Rh2: relaxed, GGA-PBE.

Cell: 8.0520 14.5704 5.5789 Å, 90.00 90.00 90.00°
Space group Pnma (No. 62)
Unique sites:
Pu  0.0365  0.1095  0.1147
Pu  0.1732  0.2500  0.6190
Ge  0.1780  0.7500  0.6206
Ge  0.1846  0.0365  0.6028
Rh  0.1001  0.6080  0.3674

Results
DOS at the Fermi energy in states/eV per cell: 110.49
ΔH_f (0 K) in eV/atom: -0.570



PuGe3Rh: relaxed, GGA-PBE.

Cell: 5.5454 5.8536 5.7290 Å, 90.00 91.18 90.00°
Space group P2_1/m (No. 11)
Unique sites:
Pu  0.1313  0.2500  0.2362
Ge  0.0853  0.7500  0.2964
Ge  0.3484  0.0192  0.6795
Rh  0.4057  0.7500  0.0064

Results
DOS at the Fermi energy in states/eV per cell: 18.97
ΔH_f (0 K) in eV/atom: -0.442



Pu12GeRh7: relaxed, GGA-PBE.

Cell: 13.0955 13.0955 8.6460 Å, 90.00 90.00 120.00°
Space group R-3 (No. 148, hexagonal axes)
Unique sites:
Pu  0.0501  0.7864  0.4514
Pu  0.0524  0.2377  0.9121
Ge  0.0000  0.0000  0.5000
Rh  0.0000  0.0000  0.0000
Rh  0.0156  0.1357  0.2647

Results
DOS at the Fermi energy in states/eV per cell: 235.38
ΔH_f (0 K) in eV/atom: -0.225



Pu2Ge6Rh: relaxed, GGA-PBE.

Cell: 6.0412 6.0412 5.3582 Å, 90.00 90.00 120.00°
Space group P-3m1 (No. 164)
Unique sites:
Pu  0.3333  0.6667  0.2856
Ge  0.1834  0.3667  0.7991
Rh  0.0000  0.0000  0.5000

Results
DOS at the Fermi energy in states/eV per cell: 11.31
ΔH_f (0 K) in eV/atom: -0.435



Number 1: calculated total energy -161.9 eV per formula unit, total magnetization 10.3 μB per formula unit, V 337 Å³ per cell. Number 2: calculated total energy -161.1 eV per formula unit, total magnetization 21.2 μB per formula unit, V 432 Å³ per cell. Number 3: calculated total energy -121.3 eV per formula unit, total magnetization 10.6 μB per formula unit, V 256 Å³ per cell. Number 4: calculated total energy -137.5 eV per formula unit, total magnetization 4.7 μB per formula unit, V 931 Å³ per cell. Number 5: calculated total energy -90.9 eV per formula unit, total magnetization 5.6 μB per formula unit, V 371 Å³ per cell. Number 6: calculated total energy -42.7 eV per formula unit, total magnetization 4.3 μB per formula unit, V 187 Å³ per cell. Number 7: calculated total energy -71.1 eV per formula unit, total magnetization 16.1 μB per formula unit, V 583 Å³ per cell. Number 8: calculated total energy -212.2 eV per formula unit, total magnetization 1.1 μB per formula unit, V 1191 Å³ per cell. Number 9: calculated total energy -76.1 eV per formula unit, total magnetization 16.0 μB per formula unit, V 655 Å³ per cell. Number 10: calculated total energy -37.7 eV per formula unit, total magnetization 5.1 μB per formula unit, V 186 Å³ per cell. Number 11: calculated total energy -232.6 eV per formula unit, total magnetization 64.5 μB per formula unit, V 1284 Å³ per cell. Number 12: calculated total energy -67.6 eV per formula unit, total magnetization 10.4 μB per formula unit, V 169 Å³ per cell.